Ca2MnW, optimized geometry, DFT PBE; E above lowest polymorph = 1.06 eV per formula unit; DFT formation energy = 691 meV per atom; symmetry = R3m (160); D(E_F) = 4.1 states/eV/f.u.
1.0
9.864 0.016 0.009
9.259 3.401 0.009
9.259 1.654 2.972
Mn Ca W
1 2 1
Direct
0.483 0.483 0.483 Mn
0.229 0.229 0.229 Ca
0.015 0.015 0.015 Ca
0.773 0.773 0.773 W